# 1
The following is a PBE calculation of an optimized crystal structure of PmAsH, from Alexandria.

Computed properties:
Energy, eV/atom: -5.0066

Lattice parameters (Å, degrees): 3.8297 3.8297 4.3519 90.00 90.00 120.00
With the nearest neighbours (Å) after each atom.
Space group P-6m2 (No. 187)
One atom of each set of equivalent atoms:
Pm 0.0000 0.0000 0.0000 [1 per cell]  3 H 2.21
As 0.3333 0.6667 0.5000 [1 per cell]  6 Pm 3.10, 6 H 3.10
H 0.6667 0.3333 0.0000 [1 per cell]  3 Pm 2.21

=====

# 2
The following is a PBE calculation of an optimized crystal structure of PmAs2H, from Alexandria.

Computed properties:
Energy, eV/atom: -4.8950

Lattice parameters (Å, degrees): 3.7458 3.7458 5.1041 90.00 90.00 90.00
With the nearest neighbours (Å) after each atom.
Space group P4/mmm (No. 123)
One atom of each set of equivalent atoms:
Pm 0.0000 0.0000 0.0000 [1 per cell]  4 H 2.65
As 0.0000 0.5000 0.5000 [2 per cell]  4 As 2.65
H 0.5000 0.5000 0.0000 [1 per cell]  4 Pm 2.65

=====

# 3
The following is a PBE calculation of an optimized crystal structure of Pm2AsH, from Alexandria.

Computed properties:
Energy, eV/atom: -5.0242

Lattice parameters (Å, degrees): 6.9768 6.9768 6.9768 90.00 90.00 90.00
With the nearest neighbours (Å) after each atom.
Space group Fm-3m (No. 225)
One atom of each set of equivalent atoms:
Pm 0.2500 0.2500 0.2500 [8 per cell]  4 H 3.02, 4 As 3.02
As 0.0000 0.0000 0.0000 [4 per cell]  8 Pm 3.02
H 0.0000 0.0000 0.5000 [4 per cell]  8 Pm 3.02

=====

# 4
The following is a PBE calculation of an optimized crystal structure of PmAsHPt, from Alexandria.

Computed properties:
Energy, eV/atom: -5.6703

Lattice parameters (Å, degrees): 4.3870 4.3870 3.9334 90.00 90.00 120.00
With the nearest neighbours (Å) after each atom.
Space group P3m1 (No. 156)
One atom of each set of equivalent atoms:
Pm 0.0000 0.0000 0.0000 [1 per cell]  3 H 2.53
As 0.3333 0.6667 0.5280 [1 per cell]  3 Pt 2.54
H 0.6667 0.3333 0.0099 [1 per cell]  1 Pt 1.83
Pt 0.6667 0.3333 0.4740 [1 per cell]  1 H 1.83

=====

# 5
The following is a PBE calculation of an optimized crystal structure of PmAsHRh2, from Alexandria.

Computed properties:
Energy, eV/atom: -6.2809

Lattice parameters (Å, degrees): 3.9526 10.7438 7.2480 90.00 90.00 90.00
With the nearest neighbours (Å) after each atom.
Space group Cmcm (No. 63)
One atom of each set of equivalent atoms:
Pm 0.0000 0.0577 0.2500 [4 per cell]  4 H 2.75, 3 As 3.02-3.08
As 0.0000 0.2230 0.7500 [4 per cell]  6 Rh 2.53
H 0.0000 0.5000 0.0000 [4 per cell]  2 Rh 1.75
Rh 0.0000 0.3408 0.0530 [8 per cell]  1 H 1.75

=====

# 6
The following is a PBE calculation of an optimized crystal structure of PmAsH2Rh, from Alexandria.

Computed properties:
Energy, eV/atom: -5.3979

Lattice parameters (Å, degrees): 3.8861 10.3325 6.6646 90.00 90.00 90.00
With the nearest neighbours (Å) after each atom.
Space group Cmcm (No. 63)
One atom of each set of equivalent atoms:
Pm 0.0000 0.2171 0.2500 [4 per cell]  6 H 2.38-2.40
As 0.0000 0.0622 0.7500 [4 per cell]  4 Rh 2.64, 1 Pm 2.89
H 0.0000 0.3361 0.5549 [8 per cell]  1 Rh 1.73
Rh 0.0000 0.5000 0.0000 [4 per cell]  2 H 1.73